VASP calculation (PBE) on LiYI4 after structural relaxation.

a b c (Å): 4.3427 8.9746 7.5426
angles (deg): 114.63 90.00 104.00
Closest atoms and distances in Å follow each position.
Fractional positions:
Li 0.5000 0.0000 0.5000  6 I 3.01-3.13
I 0.6149 0.2299 0.9531  2 Y 3.07, 1 Li 3.13
I 0.3851 0.7701 0.0469  2 Y 3.07, 1 Li 3.13
I 0.8954 0.7907 0.5643  1 Y 3.00, 2 Li 3.01
I 0.1046 0.2093 0.4357  1 Y 3.00, 2 Li 3.01
Y 0.0000 0.0000 0.0000  6 I 3.00-3.07

Summary:
formation energy from raw total energies = -1.329 eV/atom

VASP calculation (PBE) on Li3YI after structural relaxation.

a b c (Å): 5.2240 5.2240 5.2240
angles (deg): 90.00 90.00 90.00
Closest atoms and distances in Å follow each position.
Fractional positions:
I 0.0000 0.0000 0.0000  6 Li 2.61
Li 0.0000 0.0000 0.5000  2 I 2.61
Li 0.5000 0.0000 0.0000  2 I 2.61
Li 0.0000 0.5000 0.0000  2 I 2.61
Y 0.5000 0.5000 0.5000  12 Li 3.69

Summary:
formation energy from raw total energies = 0.091 eV/atom
energy above the most stable polymorph in this dataset = 0.000 eV per formula unit

Repeat the second record exactly.
VASP calculation (PBE) on Li3YI after structural relaxation.

a b c (Å): 5.2240 5.2240 5.2240
angles (deg): 90.00 90.00 90.00
Closest atoms and distances in Å follow each position.
Fractional positions:
I 0.0000 0.0000 0.0000  6 Li 2.61
Li 0.0000 0.0000 0.5000  2 I 2.61
Li 0.5000 0.0000 0.0000  2 I 2.61
Li 0.0000 0.5000 0.0000  2 I 2.61
Y 0.5000 0.5000 0.5000  12 Li 3.69

Summary:
formation energy from raw total energies = 0.091 eV/atom
energy above the most stable polymorph in this dataset = 0.000 eV per formula unit

> Which value of formation energy from raw total energies does entry 2 give?

0.091 eV/atom